(1)
Material: BPS3
Method: DFT, PBE
State: optimized geometry

Calculated values
* SG: Pm-3m
* formation energy (no corrections): 1.331 eV/atom
* energy above the most stable polymorph in this dataset: 1.501 eV/atom
* raw total energy: -3.56 eV/atom

Cell lengths 4.514, 4.514, 4.514 Å; angles 90.00, 90.00, 90.00 degrees
Fractional coordinates of all 5 atoms:
P (0.000, 0.000, 0.000)
B (0.500, 0.500, 0.500)
S (0.000, 0.500, 0.000)
S (0.500, 0.000, 0.000)
S (0.000, 0.000, 0.500)


(2)
Material: BP2S2
Method: DFT, PBE
State: optimized geometry

Calculated values
* SG: P4/mmm
* formation energy (no corrections): 1.744 eV/atom
* energy above the most stable polymorph in this dataset: 0.814 eV/atom
* raw total energy: -3.41 eV/atom

Cell lengths 4.530, 4.530, 4.513 Å; angles 90.00, 90.00, 90.00 degrees
Fractional coordinates of all 5 atoms:
B (0.500, 0.500, 0.500)
S (0.000, 0.000, 0.000)
S (0.000, 0.000, 0.500)
P (0.500, 0.000, 0.000)
P (0.000, 0.500, 0.000)


(3)
Material: BP2S2
Method: DFT, PBE
State: optimized geometry

Calculated values
* SG: P4/mmm
* formation energy (no corrections): 1.461 eV/atom
* energy above the most stable polymorph in this dataset: 0.532 eV/atom
* raw total energy: -3.69 eV/atom

Cell lengths 4.510, 4.510, 4.457 Å; angles 90.00, 90.00, 90.00 degrees
Fractional coordinates of all 5 atoms:
P (0.000, 0.000, 0.500)
P (0.000, 0.000, 0.000)
B (0.500, 0.500, 0.500)
S (0.000, 0.500, 0.000)
S (0.500, 0.000, 0.000)


(4)
Material: BPS3
Method: DFT, PBE
State: optimized geometry

Calculated values
* SG: Cmc2_1
* formation energy (no corrections): -0.170 eV/atom
* energy above the most stable polymorph in this dataset: 0.000 eV/atom
* raw total energy: -5.06 eV/atom

Cell lengths 3.072, 10.834, 9.191 Å; angles 90.00, 99.62, 90.00 degrees
Fractional coordinates of all 10 atoms:
B (0.332, 0.366, 0.665)
B (0.668, 0.866, 0.335)
S (0.879, 0.420, 0.758)
S (0.406, 0.839, 0.812)
S (0.749, 0.765, 0.497)
S (0.251, 0.265, 0.503)
S (0.594, 0.339, 0.188)
S (0.121, 0.920, 0.242)
P (0.167, 0.404, 0.334)
P (0.833, 0.904, 0.666)


(5)
Material: BPS
Method: DFT, PBE
State: optimized geometry

Calculated values
* SG: Cm
* formation energy (no corrections): 0.016 eV/atom
* energy above the most stable polymorph in this dataset: 0.071 eV/atom
* raw total energy: -5.39 eV/atom

Cell lengths 8.025, 3.010, 11.784 Å; angles 90.00, 124.04, 90.00 degrees
Fractional coordinates of all 12 atoms:
S (0.223, 0.500, 0.303)
S (0.785, 0.000, 0.406)
S (0.223, 0.000, 0.803)
S (0.785, 0.500, 0.906)
B (0.379, 0.500, 0.872)
B (0.636, 0.000, 0.485)
B (0.636, 0.500, 0.985)
B (0.379, 0.000, 0.372)
P (0.747, 0.000, 0.117)
P (0.747, 0.500, 0.617)
P (0.555, 0.500, 0.696)
P (0.555, 0.000, 0.196)


(6)
Material: BP2S6
Method: DFT, PBE
State: optimized geometry

Calculated values
* SG: C2/c
* formation energy (no corrections): -0.073 eV/atom
* raw total energy: -4.77 eV/atom

Cell lengths 5.893, 8.801, 8.801 Å; angles 74.58, 77.40, 77.40 degrees
Fractional coordinates of all 18 atoms:
S (0.661, 0.324, 0.478)
S (0.296, 0.372, 0.860)
S (0.339, 0.676, 0.522)
S (0.027, 0.877, 0.023)
S (0.973, 0.123, 0.977)
S (0.839, 0.522, 0.676)
S (0.527, 0.023, 0.877)
S (0.796, 0.860, 0.372)
S (0.473, 0.977, 0.123)
S (0.161, 0.478, 0.324)
S (0.704, 0.628, 0.140)
S (0.204, 0.140, 0.628)
P (0.608, 0.753, 0.593)
P (0.392, 0.247, 0.407)
P (0.108, 0.593, 0.753)
P (0.892, 0.407, 0.247)
B (0.750, 0.829, 0.171)
B (0.250, 0.171, 0.829)


(7)
Material: BPS
Method: DFT, PBE
State: optimized geometry

Calculated values
* SG: P1
* formation energy (no corrections): -0.016 eV/atom
* energy above the most stable polymorph in this dataset: 0.039 eV/atom
* raw total energy: -5.42 eV/atom

Cell lengths 3.522, 4.545, 7.063 Å; angles 88.47, 85.64, 85.05 degrees
Fractional coordinates of all 6 atoms:
B (0.555, 0.911, 0.685)
B (0.527, 0.288, 0.679)
S (0.071, 0.106, 0.074)
S (0.635, 0.585, 0.514)
P (0.389, 0.434, 0.936)
P (0.056, 0.831, 0.837)


(8)
Material: BP2S2
Method: DFT, PBE
State: optimized geometry

Calculated values
* SG: P4/mmm
* formation energy (no corrections): 0.983 eV/atom
* energy above the most stable polymorph in this dataset: 0.054 eV/atom
* raw total energy: -4.17 eV/atom

Cell lengths 4.233, 4.233, 3.961 Å; angles 90.00, 90.00, 90.00 degrees
Fractional coordinates of all 5 atoms:
S (0.000, 0.000, 0.500)
S (0.500, 0.500, 0.500)
P (0.500, 0.000, 0.000)
P (0.000, 0.500, 0.000)
B (0.000, 0.000, 0.000)


(9)
Material: BSbPS2
Method: DFT, PBE
State: optimized geometry

Calculated values
* SG: P4/mmm
* formation energy (no corrections): 0.594 eV/atom
* energy above the most stable polymorph in this dataset: 0.000 eV/atom
* raw total energy: -4.30 eV/atom

Cell lengths 4.300, 4.300, 4.245 Å; angles 90.00, 90.00, 90.00 degrees
Fractional coordinates of all 5 atoms:
Sb (0.500, 0.500, 0.500)
P (0.000, 0.000, 0.500)
S (0.000, 0.500, 0.000)
S (0.500, 0.000, 0.000)
B (0.000, 0.000, 0.000)


(10)
Material: BSbP2S
Method: DFT, PBE
State: optimized geometry

Calculated values
* SG: P4/mmm
* formation energy (no corrections): 0.688 eV/atom
* energy above the most stable polymorph in this dataset: 0.000 eV/atom
* raw total energy: -4.46 eV/atom

Cell lengths 4.312, 4.312, 4.182 Å; angles 90.00, 90.00, 90.00 degrees
Fractional coordinates of all 5 atoms:
Sb (0.500, 0.500, 0.500)
S (0.000, 0.000, 0.500)
P (0.500, 0.000, 0.000)
P (0.000, 0.500, 0.000)
B (0.000, 0.000, 0.000)


(11)
Material: BSbP2S
Method: DFT, PBE
State: optimized geometry

Calculated values
* SG: P4/mmm
* formation energy (no corrections): 1.871 eV/atom
* energy above the most stable polymorph in this dataset: 1.183 eV/atom
* raw total energy: -3.28 eV/atom

Cell lengths 5.086, 5.086, 5.026 Å; angles 90.00, 90.00, 90.00 degrees
Site moments in Bohr magnetons follow the coordinates.
Fractional coordinates of all 5 atoms:
P (0.000, 0.500, 0.000)  0.21
P (0.500, 0.000, 0.000)  0.21
B (0.500, 0.500, 0.500)  -0.02
Sb (0.000, 0.000, 0.000)  0.01
S (0.000, 0.000, 0.500)  0.10


(12)
Material: BSbPS2
Method: DFT, PBE
State: optimized geometry

Calculated values
* SG: P4/mmm
* formation energy (no corrections): 1.625 eV/atom
* energy above the most stable polymorph in this dataset: 1.031 eV/atom
* raw total energy: -3.27 eV/atom

Cell lengths 5.020, 5.020, 5.105 Å; angles 90.00, 90.00, 90.00 degrees
Site moments in Bohr magnetons follow the coordinates.
Fractional coordinates of all 5 atoms:
B (0.500, 0.500, 0.500)  0.00
Sb (0.000, 0.000, 0.000)  0.01
S (0.000, 0.500, 0.000)  0.06
S (0.500, 0.000, 0.000)  0.06
P (0.000, 0.000, 0.500)  0.25


(13)
Material: ScBP2S
Method: DFT, PBE
State: optimized geometry

Calculated values
* SG: P4/mmm
* formation energy (no corrections): 1.135 eV/atom
* energy above the most stable polymorph in this dataset: 1.036 eV/atom
* raw total energy: -4.46 eV/atom

Cell lengths 4.952, 4.952, 4.865 Å; angles 90.00, 90.00, 90.00 degrees
Fractional coordinates of all 5 atoms:
Sc (0.000, 0.000, 0.000)
P (0.500, 0.000, 0.000)
P (0.000, 0.500, 0.000)
S (0.000, 0.000, 0.500)
B (0.500, 0.500, 0.500)


(14)
Material: ScBP2S
Method: DFT, PBE
State: optimized geometry

Calculated values
* SG: P4/mmm
* formation energy (no corrections): 0.099 eV/atom
* energy above the most stable polymorph in this dataset: 0.000 eV/atom
* raw total energy: -5.49 eV/atom

Cell lengths 3.893, 3.893, 5.233 Å; angles 90.00, 90.00, 90.00 degrees
Fractional coordinates of all 5 atoms:
B (0.000, 0.000, 0.000)
Sc (0.500, 0.500, 0.500)
P (0.000, 0.500, 0.000)
P (0.500, 0.000, 0.000)
S (0.000, 0.000, 0.500)


(15)
Material: BPSeS2
Method: DFT, PBE
State: optimized geometry

Calculated values
* SG: P4/mmm
* formation energy (no corrections): 1.720 eV/atom
* energy above the most stable polymorph in this dataset: 0.868 eV/atom
* raw total energy: -3.05 eV/atom

Cell lengths 4.827, 4.827, 4.801 Å; angles 90.00, 90.00, 90.00 degrees
Site moments in Bohr magnetons follow the coordinates.
Fractional coordinates of all 5 atoms:
S (0.000, 0.500, 0.000)  0.09
S (0.500, 0.000, 0.000)  0.09
Se (0.000, 0.000, 0.000)  0.00
B (0.500, 0.500, 0.500)  0.01
P (0.000, 0.000, 0.500)  0.35


(16)
Material: BP2SeS
Method: DFT, PBE
State: optimized geometry

Calculated values
* SG: P4/mmm
* formation energy (no corrections): 0.865 eV/atom
* energy above the most stable polymorph in this dataset: 0.000 eV/atom
* raw total energy: -4.16 eV/atom

Cell lengths 4.279, 4.279, 4.031 Å; angles 90.00, 90.00, 90.00 degrees
Fractional coordinates of all 5 atoms:
P (0.000, 0.500, 0.000)
P (0.500, 0.000, 0.000)
B (0.000, 0.000, 0.000)
Se (0.500, 0.500, 0.500)
S (0.000, 0.000, 0.500)


(17)
Material: BP2SeS
Method: DFT, PBE
State: optimized geometry

Calculated values
* SG: P4/mmm
* formation energy (no corrections): 1.889 eV/atom
* energy above the most stable polymorph in this dataset: 1.024 eV/atom
* raw total energy: -3.13 eV/atom

Cell lengths 4.812, 4.812, 4.795 Å; angles 90.00, 90.00, 90.00 degrees
Site moments in Bohr magnetons follow the coordinates.
Fractional coordinates of all 5 atoms:
P (0.000, 0.500, 0.000)  0.18
P (0.500, 0.000, 0.000)  0.18
B (0.500, 0.500, 0.500)  -0.01
S (0.000, 0.000, 0.500)  0.08
Se (0.000, 0.000, 0.000)  0.01


(18)
Material: BPSeS2
Method: DFT, PBE
State: optimized geometry

Calculated values
* SG: P4/mmm
* formation energy (no corrections): 0.852 eV/atom
* energy above the most stable polymorph in this dataset: 0.000 eV/atom
* raw total energy: -3.91 eV/atom

Cell lengths 4.134, 4.134, 4.343 Å; angles 90.00, 90.00, 90.00 degrees
Fractional coordinates of all 5 atoms:
Se (0.500, 0.500, 0.500)
P (0.000, 0.000, 0.500)
B (0.000, 0.000, 0.000)
S (0.500, 0.000, 0.000)
S (0.000, 0.500, 0.000)


(19)
Material: SiBP2S
Method: DFT, PBE
State: optimized geometry

Calculated values
* SG: P4/mmm
* formation energy (no corrections): 0.870 eV/atom
* energy above the most stable polymorph in this dataset: 0.000 eV/atom
* raw total energy: -4.54 eV/atom

Cell lengths 4.145, 4.145, 4.104 Å; angles 90.00, 90.00, 90.00 degrees
Fractional coordinates of all 5 atoms:
S (0.000, 0.000, 0.500)
B (0.000, 0.000, 0.000)
P (0.000, 0.500, 0.000)
P (0.500, 0.000, 0.000)
Si (0.500, 0.500, 0.500)


(20)
Material: SiBPS2
Method: DFT, PBE
State: optimized geometry

Calculated values
* SG: P4/mmm
* formation energy (no corrections): 1.271 eV/atom
* energy above the most stable polymorph in this dataset: 0.453 eV/atom
* raw total energy: -3.88 eV/atom

Cell lengths 4.461, 4.461, 4.551 Å; angles 90.00, 90.00, 90.00 degrees
Fractional coordinates of all 5 atoms:
Si (0.000, 0.000, 0.000)
P (0.000, 0.000, 0.500)
B (0.500, 0.500, 0.500)
S (0.000, 0.500, 0.000)
S (0.500, 0.000, 0.000)


(21)
Material: SiBP2S
Method: DFT, PBE
State: optimized geometry

Calculated values
* SG: P4/mmm
* formation energy (no corrections): 1.428 eV/atom
* energy above the most stable polymorph in this dataset: 0.558 eV/atom
* raw total energy: -3.98 eV/atom

Cell lengths 4.492, 4.492, 4.482 Å; angles 90.00, 90.00, 90.00 degrees
Fractional coordinates of all 5 atoms:
P (0.500, 0.000, 0.000)
P (0.000, 0.500, 0.000)
S (0.000, 0.000, 0.500)
Si (0.000, 0.000, 0.000)
B (0.500, 0.500, 0.500)


(22)
Material: SiBPS2
Method: DFT, PBE
State: optimized geometry

Calculated values
* SG: P4/mmm
* formation energy (no corrections): 0.818 eV/atom
* energy above the most stable polymorph in this dataset: 0.000 eV/atom
* raw total energy: -4.33 eV/atom

Cell lengths 4.331, 4.331, 3.927 Å; angles 90.00, 90.00, 90.00 degrees
Fractional coordinates of all 5 atoms:
Si (0.500, 0.500, 0.500)
S (0.500, 0.000, 0.000)
S (0.000, 0.500, 0.000)
B (0.000, 0.000, 0.000)
P (0.000, 0.000, 0.500)


(23)
Material: SnBPS2
Method: DFT, PBE
State: optimized geometry

Calculated values
* SG: P4/mmm
* formation energy (no corrections): 0.520 eV/atom
* energy above the most stable polymorph in this dataset: 0.000 eV/atom
* raw total energy: -4.35 eV/atom

Cell lengths 4.478, 4.478, 4.077 Å; angles 90.00, 90.00, 90.00 degrees
Fractional coordinates of all 5 atoms:
B (0.000, 0.000, 0.000)
S (0.500, 0.000, 0.000)
S (0.000, 0.500, 0.000)
Sn (0.500, 0.500, 0.500)
P (0.000, 0.000, 0.500)


(24)
Material: SnBPS2
Method: DFT, PBE
State: optimized geometry

Calculated values
* SG: P4/mmm
* formation energy (no corrections): 1.552 eV/atom
* energy above the most stable polymorph in this dataset: 1.032 eV/atom
* raw total energy: -3.32 eV/atom

Cell lengths 5.027, 5.027, 5.063 Å; angles 90.00, 90.00, 90.00 degrees
Site moments in Bohr magnetons follow the coordinates.
Fractional coordinates of all 5 atoms:
S (0.500, 0.000, 0.000)  0.12
S (0.000, 0.500, 0.000)  0.12
Sn (0.000, 0.000, 0.000)  -0.01
B (0.500, 0.500, 0.500)  -0.02
P (0.000, 0.000, 0.500)  0.34


(25)
Material: SrBPS2
Method: DFT, PBE
State: optimized geometry

Calculated values
* SG: P4/mmm
* formation energy (no corrections): -0.172 eV/atom
* energy above the most stable polymorph in this dataset: 0.000 eV/atom
* raw total energy: -4.58 eV/atom

Cell lengths 4.841, 4.841, 3.869 Å; angles 90.00, 90.00, 90.00 degrees
Fractional coordinates of all 5 atoms:
S (0.500, 0.000, 0.000)
S (0.000, 0.500, 0.000)
Sr (0.500, 0.500, 0.500)
B (0.000, 0.000, 0.000)
P (0.000, 0.000, 0.500)


(26)
Material: SrBPS2
Method: DFT, PBE
State: optimized geometry

Calculated values
* SG: P4/mmm
* formation energy (no corrections): 1.545 eV/atom
* energy above the most stable polymorph in this dataset: 1.717 eV/atom
* raw total energy: -2.86 eV/atom

Cell lengths 5.620, 5.620, 5.975 Å; angles 90.00, 90.00, 90.00 degrees
Site moments in Bohr magnetons follow the coordinates.
Fractional coordinates of all 5 atoms:
B (0.500, 0.500, 0.500)  -0.08
P (0.000, 0.000, 0.500)  0.95
Sr (0.000, 0.000, 0.000)  0.04
S (0.000, 0.500, 0.000)  0.58
S (0.500, 0.000, 0.000)  0.58


(27)
Material: SrBP2S
Method: DFT, PBE
State: optimized geometry

Calculated values
* SG: P4/mmm
* formation energy (no corrections): 1.908 eV/atom
* energy above the most stable polymorph in this dataset: 1.850 eV/atom
* raw total energy: -2.75 eV/atom

Cell lengths 5.616, 5.616, 5.484 Å; angles 90.00, 90.00, 90.00 degrees
Site moments in Bohr magnetons follow the coordinates.
Fractional coordinates of all 5 atoms:
B (0.500, 0.500, 0.500)  -0.02
S (0.000, 0.000, 0.500)  0.13
P (0.500, 0.000, 0.000)  0.33
P (0.000, 0.500, 0.000)  0.33
Sr (0.000, 0.000, 0.000)  0.01